(1)
Here is crystalline Hf2GeO at its relaxed geometry from the Alexandria database. Energies are from GGA-PBE.

Calculated values
ρ = 9.3 g/cm3
Formation energy without anion corrections = -1093 meV per atom
Crystal system = tetragonal
Density of states at the Fermi level = 0.6564 states/eV/atom
ΔE to the lowest computed polymorph = 0 meV/atom
Spin magnetization = 0.000 μB per formula unit

Cell: 5.397 5.397 10.889 Å, 90.00 90.00 90.00°
Positions (direct):
Hf 0.164 0.250 0.125
Hf 0.250 0.664 0.375
Hf 0.250 0.836 0.875
Hf 0.336 0.250 0.625
Hf 0.664 0.750 0.625
Hf 0.750 0.164 0.875
Hf 0.750 0.336 0.375
Hf 0.836 0.750 0.125
Ge 0.000 0.000 0.500
Ge 0.000 0.500 0.750
Ge 0.500 0.000 0.250
Ge 0.500 0.500 0.000
O 0.000 0.000 0.000
O 0.000 0.500 0.250
O 0.500 0.000 0.750
O 0.500 0.500 0.500

---

(2)
Here is crystalline La5Pr2Tm6 at its relaxed geometry from the Alexandria database. Energies are from GGA-PBE.

Calculated values
ρ = 7.4 g/cm3
Crystal system = orthorhombic
Energy of formation from the pure elements = 0.09 eV per atom
Density of states at the Fermi level = 1.4181 states/eV/atom
Spin magnetization = 0.000 μB per formula unit

Cell: 11.723 20.966 3.619 Å, 90.00 90.00 90.00°
Positions (direct):
La 0.000 0.000 0.000
La 0.059 0.291 0.000
La 0.197 0.569 0.000
La 0.303 0.069 0.000
La 0.441 0.791 0.000
La 0.500 0.500 0.000
La 0.559 0.209 0.000
La 0.697 0.931 0.000
La 0.803 0.431 0.000
La 0.941 0.709 0.000
Pr 0.198 0.733 0.500
Pr 0.302 0.233 0.500
Pr 0.698 0.767 0.500
Pr 0.802 0.267 0.500
Tm 0.057 0.144 0.500
Tm 0.075 0.434 0.500
Tm 0.193 0.878 0.000
Tm 0.307 0.378 0.000
Tm 0.425 0.934 0.500
Tm 0.443 0.644 0.500
Tm 0.557 0.356 0.500
Tm 0.575 0.066 0.500
Tm 0.693 0.622 0.000
Tm 0.807 0.122 0.000
Tm 0.925 0.566 0.500
Tm 0.943 0.856 0.500

---

(3)
Here is crystalline LaDy2Ir at its relaxed geometry from the Alexandria database. Energies are from GGA-PBE.

Calculated values
ρ = 9.8 g/cm3
Crystal system = tetragonal
Energy of formation from the pure elements = -0.42 eV per atom
Density of states at the Fermi level = 1.1934 states/eV/atom
ΔE to the lowest computed polymorph = 124 meV/atom
Spin magnetization = 0.000 μB per formula unit

Cell: 3.506 3.506 9.013 Å, 90.00 90.00 90.00°
Positions (direct):
La 0.000 0.000 0.000
Dy 0.500 0.500 0.321
Dy 0.500 0.500 0.679
Ir 0.000 0.000 0.500

---

(4)
Here is crystalline NaH5Pd2 at its relaxed geometry from the Alexandria database. Energies are from GGA-PBE.

Calculated values
E = -58.52 eV per cell
ρ = 5.7 g/cm3
Crystal system = orthorhombic
Density of states at the Fermi level = 0.0899 states/eV/atom
Spin magnetization = 0.000 μB per formula unit

Cell: 3.074 4.739 9.591 Å, 90.00 90.00 90.00°
Positions (direct):
Na 0.000 0.000 0.000
Na 0.500 0.500 0.500
H 0.000 0.225 0.332
H 0.000 0.225 0.668
H 0.000 0.500 0.000
H 0.000 0.775 0.332
H 0.000 0.775 0.668
H 0.500 0.000 0.500
H 0.500 0.275 0.168
H 0.500 0.275 0.832
H 0.500 0.725 0.168
H 0.500 0.725 0.832
Pd 0.000 0.500 0.193
Pd 0.000 0.500 0.807
Pd 0.500 0.000 0.307
Pd 0.500 0.000 0.693